Entry 1:
# PBE ErInGa2Cl6, optimized geometry
# space-group type	P1 (1)
# raw formation energy	-1.36	eV per atom
# size of the total moment	0.00	μB/cell
data_ErInGa2Cl6
_space_group_name_H-M_alt 'P 1'
_space_group_IT_number 1
_cell_length_a 7.513
_cell_length_b 7.514
_cell_length_c 7.931
_cell_angle_alpha 61.62
_cell_angle_beta 61.62
_cell_angle_gamma 59.86
loop_
_space_group_symop_operation_xyz
'x,y,z'
loop_
_atom_site_label
_atom_site_fract_x
_atom_site_fract_y
_atom_site_fract_z
_atom_site_occupancy
Cl1 0.229 0.973 0.234 1
In1 0.812 0.812 0.564 1
Er1 0.324 0.324 0.028 1
Cl2 0.564 0.229 0.233 1
Cl3 0.140 0.400 0.772 1
Cl4 0.400 0.688 0.771 1
Ga1 0.010 0.011 0.967 1
Ga2 0.520 0.521 0.440 1
Cl5 0.689 0.139 0.772 1
Cl6 0.973 0.565 0.233 1

=====

Entry 2:
# PBE Tm2ZrGa5, optimized geometry
# ΔE_f	-4.43	eV/f.u.
# space-group type	I4mm (107)
# size of the total moment	0.00	μB/cell
data_Tm2ZrGa5
_space_group_name_H-M_alt 'P 1'
_space_group_IT_number 1
_cell_length_a 5.926
_cell_length_b 5.926
_cell_length_c 5.926
_cell_angle_alpha 102.34
_cell_angle_beta 113.15
_cell_angle_gamma 113.15
loop_
_space_group_symop_operation_xyz
'x,y,z'
loop_
_atom_site_label
_atom_site_fract_x
_atom_site_fract_y
_atom_site_fract_z
_atom_site_occupancy
Ga1 0.589 0.274 0.274 1
Ga2 0.000 0.274 0.685 1
Tm1 0.500 0.240 0.740 1
Ga3 0.411 0.685 0.685 1
Tm2 0.500 0.740 0.240 1
Zr1 0.000 0.126 0.126 1
Ga4 0.000 0.755 0.755 1
Ga5 0.000 0.685 0.274 1

=====

Entry 3:
# PBE MnZnIr2, optimized geometry
# ΔE_f	-0.67	eV/f.u.
# space-group type	P4/mmm (123)
# size of the total moment	2.18	μB/cell
data_MnZnIr2
_space_group_name_H-M_alt 'P 1'
_space_group_IT_number 1
_cell_length_a 2.777
_cell_length_b 2.777
_cell_length_c 7.155
_cell_angle_alpha 90.00
_cell_angle_beta 90.00
_cell_angle_gamma 90.00
loop_
_space_group_symop_operation_xyz
'x,y,z'
loop_
_atom_site_label
_atom_site_fract_x
_atom_site_fract_y
_atom_site_fract_z
_atom_site_occupancy
Mn1 0.500 0.500 0.000 1
Ir1 0.000 0.000 0.764 1
Zn1 0.500 0.500 0.500 1
Ir2 0.000 0.000 0.236 1

=====

Entry 4:
# PBE MgNbB3, optimized geometry
# ΔE_f	5.69	eV/f.u.
# energy above the most stable polymorph in this dataset	0.0	kJ/mol of atoms
# space-group type	Pm-3m (221)
# size of the total moment	0.00	μB/cell
data_MgNbB3
_space_group_name_H-M_alt 'P 1'
_space_group_IT_number 1
_cell_length_a 4.252
_cell_length_b 4.252
_cell_length_c 4.252
_cell_angle_alpha 90.00
_cell_angle_beta 90.00
_cell_angle_gamma 90.00
loop_
_space_group_symop_operation_xyz
'x,y,z'
loop_
_atom_site_label
_atom_site_fract_x
_atom_site_fract_y
_atom_site_fract_z
_atom_site_occupancy
Nb1 0.000 0.000 0.000 1
B1 0.000 0.000 0.500 1
Mg1 0.500 0.500 0.500 1
B2 0.000 0.500 0.000 1
B3 0.500 0.000 0.000 1